Entry i
{"formula": "Ho4Al3Ni", "functional": "PBE", "state": "optimized geometry", "lattice_angstrom": [[3.741, 0.000, 0.000], [0.000, 4.414, 0.000], [0.000, 0.000, 11.235]], "species": ["Ho", "Ho", "Ho", "Ho", "Al", "Al", "Al", "Ni"], "frac_coords": [[0.000, 0.000, 0.000], [0.000, 0.500, 0.273], [0.500, 0.000, 0.462], [0.500, 0.500, 0.787], [0.000, 0.000, 0.695], [0.000, 0.500, 0.558], [0.500, 0.500, 0.064], [0.500, 0.000, 0.194]], "m_tot_mub_per_atom": 0.00}

Entry ii
{"formula": "Ho4Al3Ni", "functional": "PBE", "state": "optimized geometry", "lattice_angstrom": [[3.480, 0.000, 0.000], [0.000, 3.480, 0.000], [0.000, 0.000, 14.559]], "species": ["Ho", "Ho", "Ho", "Ho", "Al", "Al", "Al", "Ni"], "frac_coords": [[0.000, 0.000, 0.110], [0.000, 0.000, 0.369], [0.000, 0.000, 0.631], [0.000, 0.000, 0.890], [0.500, 0.500, 0.241], [0.500, 0.500, 0.500], [0.500, 0.500, 0.759], [0.500, 0.500, 0.000]], "m_tot_mub_per_atom": 0.00}

It is entry i that is the least stable of them.

Entry i
{"formula": "Ho12AlNi6", "functional": "PBE", "state": "optimized geometry", "lattice_angstrom": [[6.806, 3.929, 2.887], [-6.806, 3.929, 2.887], [0.000, -7.859, 2.887]], "species": ["Ho", "Ho", "Ho", "Ho", "Ho", "Ho", "Ho", "Ho", "Ho", "Ho", "Ho", "Ho", "Al", "Ni", "Ni", "Ni", "Ni", "Ni", "Ni"], "frac_coords": [[0.051, 0.350, 0.111], [0.111, 0.051, 0.350], [0.174, 0.466, 0.644], [0.350, 0.111, 0.051], [0.356, 0.826, 0.534], [0.466, 0.644, 0.174], [0.534, 0.356, 0.826], [0.644, 0.174, 0.466], [0.650, 0.889, 0.949], [0.826, 0.534, 0.356], [0.889, 0.949, 0.650], [0.949, 0.650, 0.889], [0.500, 0.500, 0.500], [0.142, 0.786, 0.716], [0.214, 0.284, 0.858], [0.284, 0.858, 0.214], [0.716, 0.142, 0.786], [0.786, 0.716, 0.142], [0.858, 0.214, 0.284]], "m_tot_mub_per_atom": 0.00}

Entry ii
{"formula": "Ho12AlNi6", "functional": "PBE", "state": "optimized geometry", "lattice_angstrom": [[-4.808, 4.808, 4.808], [4.808, -4.808, 4.808], [4.808, 4.808, -4.808]], "species": ["Ho", "Ho", "Ho", "Ho", "Ho", "Ho", "Ho", "Ho", "Ho", "Ho", "Ho", "Ho", "Al", "Ni", "Ni", "Ni", "Ni", "Ni", "Ni"], "frac_coords": [[0.115, 0.813, 0.301], [0.187, 0.301, 0.488], [0.187, 0.699, 0.885], [0.301, 0.115, 0.813], [0.301, 0.488, 0.187], [0.488, 0.187, 0.301], [0.512, 0.813, 0.699], [0.699, 0.512, 0.813], [0.699, 0.885, 0.187], [0.813, 0.301, 0.115], [0.813, 0.699, 0.512], [0.885, 0.187, 0.699], [0.000, 0.000, 0.000], [0.124, 0.624, 0.500], [0.376, 0.500, 0.876], [0.500, 0.124, 0.624], [0.500, 0.876, 0.376], [0.624, 0.500, 0.124], [0.876, 0.376, 0.500]], "m_tot_mub_per_atom": 0.00}

It is entry i that is the least stable of them.

Entry i
{"formula": "Ho3AlO6", "functional": "PBE", "state": "optimized geometry", "lattice_angstrom": [[4.416, -5.530, 0.000], [4.416, 5.530, 0.000], [0.000, 0.000, 5.368]], "species": ["Ho", "Ho", "Ho", "Ho", "Ho", "Ho", "Al", "Al", "O", "O", "O", "O", "O", "O", "O", "O", "O", "O", "O", "O"], "frac_coords": [[0.103, 0.897, 0.500], [0.201, 0.413, 0.546], [0.413, 0.201, 0.046], [0.587, 0.799, 0.546], [0.799, 0.587, 0.046], [0.897, 0.103, 0.000], [0.306, 0.694, 0.081], [0.694, 0.306, 0.581], [0.084, 0.608, 0.247], [0.145, 0.176, 0.275], [0.176, 0.145, 0.775], [0.286, 0.714, 0.752], [0.392, 0.916, 0.247], [0.456, 0.544, 0.208], [0.544, 0.456, 0.708], [0.608, 0.084, 0.747], [0.714, 0.286, 0.252], [0.824, 0.855, 0.275], [0.855, 0.824, 0.775], [0.916, 0.392, 0.747]], "m_tot_mub_per_atom": 0.00}

Entry ii
{"formula": "Ho3AlO6", "functional": "PBE", "state": "optimized geometry", "lattice_angstrom": [[4.633, 2.675, 3.538], [-4.633, 2.675, 3.538], [0.000, -5.350, 3.538]], "species": ["Ho", "Ho", "Ho", "Ho", "Ho", "Ho", "Al", "Al", "O", "O", "O", "O", "O", "O", "O", "O", "O", "O", "O", "O"], "frac_coords": [[0.065, 0.755, 0.571], [0.245, 0.429, 0.935], [0.429, 0.935, 0.245], [0.571, 0.065, 0.755], [0.755, 0.571, 0.065], [0.935, 0.245, 0.429], [0.000, 0.000, 0.000], [0.500, 0.500, 0.500], [0.044, 0.709, 0.917], [0.083, 0.956, 0.291], [0.206, 0.432, 0.572], [0.291, 0.083, 0.956], [0.428, 0.794, 0.568], [0.432, 0.572, 0.206], [0.568, 0.428, 0.794], [0.572, 0.206, 0.432], [0.709, 0.917, 0.044], [0.794, 0.568, 0.428], [0.917, 0.044, 0.709], [0.956, 0.291, 0.083]], "m_tot_mub_per_atom": 0.00}

It is entry ii that is the least stable of them.

Entry i
{"formula": "Ho2AlOs", "functional": "PBE", "state": "optimized geometry", "lattice_angstrom": [[3.478, 0.000, 0.000], [0.000, 3.478, 0.000], [0.000, 0.000, 7.060]], "species": ["Ho", "Ho", "Al", "Os"], "frac_coords": [[0.000, 0.000, 0.230], [0.000, 0.000, 0.770], [0.500, 0.500, 0.500], [0.500, 0.500, 0.000]], "m_tot_mub_per_atom": 0.00}

Entry ii
{"formula": "Ho2AlOs", "functional": "PBE", "state": "optimized geometry", "lattice_angstrom": [[1.656, 0.956, 10.341], [-1.656, 0.956, 10.341], [0.000, -1.912, 10.341]], "species": ["Ho", "Ho", "Al", "Os"], "frac_coords": [[0.100, 0.100, 0.100], [0.900, 0.900, 0.900], [0.000, 0.000, 0.000], [0.500, 0.500, 0.500]], "m_tot_mub_per_atom": 0.00}

It is entry ii that is the least stable of them.